A geometry-optimized NdScNiAu structure, computed with PBE.

a b c (Å): 4.923 4.923 4.923
angles (deg): 60.00 60.00 60.00
Sites, in units of the cell vectors:
Au 0.750 0.750 0.750
Ni 0.250 0.250 0.250
Nd 0.000 0.000 0.000
Sc 0.500 0.500 0.500

Properties
ρ = 8.757 g/cm3
Fermi-level density of states = 3.00 states/eV/cell
space-group type = No. 216
formation energy = -45.8 kJ per mole of atoms
crystal system = cubic

---

A geometry-optimized DyCd2Hg structure, computed with PBE.

a b c (Å): 5.088 5.088 5.088
angles (deg): 60.00 60.00 60.00
Sites, in units of the cell vectors:
Cd 0.750 0.750 0.750
Hg 0.500 0.500 0.500
Cd 0.250 0.250 0.250
Dy 0.000 0.000 0.000

Properties
ρ = 10.484 g/cm3
Fermi-level density of states = 3.33 states/eV/cell
space-group type = No. 225
formation energy = -19.8 kJ per mole of atoms
ΔE to the lowest computed polymorph = 2.41 kcal/mol of atoms
crystal system = cubic

---

A geometry-optimized K2H2S structure, computed with PBE.

a b c (Å): 5.234 5.234 5.394
angles (deg): 58.82 58.82 62.04
Sites, in units of the cell vectors:
H 0.447 0.447 0.551
K 0.250 0.250 0.249
K 0.750 0.750 0.751
S 0.000 0.000 0.000
H 0.553 0.553 0.449

Properties
ρ = 1.793 g/cm3
Fermi-level density of states = 0.00 states/eV/cell
space-group type = No. 12
ΔE to the lowest computed polymorph = 0.00 kcal/mol of atoms
crystal system = monoclinic

---

A geometry-optimized Tm8ZnIn5 structure, computed with PBE.

a b c (Å): 7.915 7.915 7.915
angles (deg): 109.71 109.00 109.71
Sites, in units of the cell vectors:
Tm 0.618 0.886 0.878
Tm 0.132 0.748 0.538
In 0.386 0.131 0.011
In 0.500 0.000 0.500
Tm 0.462 0.594 0.210
Tm 0.268 0.260 0.382
Tm 0.790 0.252 0.384
Tm 0.122 0.740 0.008
Zn 0.250 0.500 0.750
Tm 0.616 0.406 0.868
Tm 0.992 0.114 0.732
In 0.745 0.625 0.614
In 0.881 0.869 0.255
In 0.989 0.375 0.119

Properties
ρ = 8.662 g/cm3
Fermi-level density of states = 18.18 states/eV/cell
space-group type = No. 82
formation energy = -24.0 kJ per mole of atoms
crystal system = tetragonal